1.
Entry from the Alexandria database: In3Hg5 at its PBEsol-relaxed geometry (SCAN).

For the calculated total energy, the calculation gives -881.53 eV/cell.

It has space group P6_3/mcm (No. 193), with a = 8.6731 Å, b = 8.6731 Å, c = 6.0290 Å, α = 90.00°, β = 90.00° and γ = 120.00°. The asymmetric unit holds In at (0.0000, 0.3998, 0.2500), Hg at (0.0000, 0.2152, 0.7500) and Hg at (0.3333, 0.6667, 0.0000).

2.
Entry from the Alexandria database: ScTa2Co at its PBEsol-relaxed geometry (SCAN).

For the calculated total energy, the calculation gives -656.04 eV/cell.

It has space group F-43m (No. 216), with a = 6.3613 Å, b = 6.3613 Å, c = 6.3613 Å, α = 90.00°, β = 90.00° and γ = 90.00°. The asymmetric unit holds Sc at (0.0000, 0.0000, 0.0000), Ta at (0.0000, 0.0000, 0.5000), Ta at (0.2500, 0.2500, 0.2500) and Co at (0.2500, 0.2500, 0.7500).

> The highest calculated total energy belongs to which entry?

ScTa2Co